# PBE TbEr3Se6, relaxed
# ΔE_f (raw) ... -1862 meV/atom
# Offset from the most stable computed form ... 0.000 eV/atom
data_TbEr3Se6
_cell_length_a 11.5125
_cell_length_b 4.0767
_cell_length_c 11.7868
_cell_angle_alpha 90.00
_cell_angle_beta 109.17
_cell_angle_gamma 90.00
_space_group_name_H-M_alt 'P 1 21/m 1'
_space_group_IT_number 11
_space_group_name_Hall '-P 2yb'
loop_
_atom_site_label
_atom_site_fract_x
_atom_site_fract_y
_atom_site_fract_z
Tb1 0.0444 0.2500 0.1932
Er1 0.1591 0.2500 0.5836
Er2 0.3173 0.7500 0.9987
Er3 0.4336 0.2500 0.3327
Se1 0.0826 0.7500 0.4022
Se2 0.1123 0.2500 0.9652
Se3 0.1936 0.7500 0.7503
Se4 0.2551 0.7500 0.2236
Se5 0.3953 0.2500 0.5618
Se6 0.4797 0.2500 0.1149